Entry 1:
# CaZn2Cu

A crystal of CaZn2Cu relaxed with PBEsol (SCAN, Alexandria).

Values from the calculation:
The value obtained for the formation energy is -0.054 eV/atom.

abc: 3.2352 3.2352 6.6704
angles: 90.00 90.00 90.00
Space group P4mm (No. 99)
Inequivalent atoms, fractional coordinates:
Ca: 0.0000 0.0000 0.0000 (multiplicity 1)
Zn: 0.0000 0.0000 0.4687 (multiplicity 1)
Zn: 0.5000 0.5000 0.6860 (multiplicity 1)
Cu: 0.5000 0.5000 0.3015 (multiplicity 1)

Entry 2:
# Ba2Pt

A crystal of Ba2Pt relaxed with PBEsol (SCAN, Alexandria).

Values from the calculation:
The value obtained for the formation energy is -0.727 eV/atom.

abc: 7.3219 7.4645 4.5915
angles: 90.00 90.00 90.00
Space group Pnnm (No. 58)
Inequivalent atoms, fractional coordinates:
Ba: 0.2240 0.1776 0.0000 (multiplicity 4)
Pt: 0.0000 0.0000 0.5000 (multiplicity 2)

Entry 3:
# Cu3SbS3

A crystal of Cu3SbS3 relaxed with PBEsol (SCAN, Alexandria).

Values from the calculation:
Its uncorrected formation energy is -1.61 eV per formula unit.

abc: 6.2841 7.9080 10.1308
angles: 90.00 90.00 90.00
Space group P2_12_12_1 (No. 19)
Inequivalent atoms, fractional coordinates:
Cu: 0.0042 0.0803 0.4674 (multiplicity 4)
Cu: 0.0285 0.1767 0.1000 (multiplicity 4)
Cu: 0.1271 0.3772 0.4176 (multiplicity 4)
Sb: 0.1096 0.2181 0.7632 (multiplicity 4)
S: 0.1155 0.8243 0.9267 (multiplicity 4)
S: 0.1173 0.8389 0.5571 (multiplicity 4)
S: 0.1385 0.5405 0.2379 (multiplicity 4)

Entry 4:
# LaPb6ClO7

A crystal of LaPb6ClO7 relaxed with PBEsol (SCAN, Alexandria).

Values from the calculation:
Its uncorrected formation energy is -24.34 eV per formula unit.

abc: 18.3139 8.0889 9.3982
angles: 90.00 118.35 90.00
Space group C2/m (No. 12)
Inequivalent atoms, fractional coordinates:
La: 0.2500 0.2500 0.0000 (multiplicity 4)
Pb: 0.0483 0.0000 0.8215 (multiplicity 4)
Pb: 0.0575 0.5000 0.7561 (multiplicity 4)
Pb: 0.1289 0.2335 0.5467 (multiplicity 8)
Pb: 0.1526 0.5000 0.2136 (multiplicity 4)
Pb: 0.2001 0.0000 0.2788 (multiplicity 4)
Cl: 0.0000 0.2716 0.0000 (multiplicity 4)
O: 0.1047 0.2205 0.7527 (multiplicity 8)
O: 0.1513 0.5000 0.6208 (multiplicity 4)
O: 0.1681 0.5000 0.9913 (multiplicity 4)
O: 0.1778 0.0000 0.0295 (multiplicity 4)
O: 0.2410 0.2814 0.2668 (multiplicity 8)

Entry 5:
# InCo2Pt

A crystal of InCo2Pt relaxed with PBEsol (SCAN, Alexandria).

Values from the calculation:
The value obtained for the formation energy is 0.107 eV/atom.

abc: 5.5334 7.0653 2.7723
angles: 90.00 90.00 90.00
Space group Cmmm (No. 65)
Inequivalent atoms, fractional coordinates:
In: 0.0000 0.0000 0.0000 (multiplicity 2)
Co: 0.2500 0.2500 0.5000 (multiplicity 4)
Pt: 0.0000 0.5000 0.0000 (multiplicity 2)

Entry 6:
# LiGaTe2I

A crystal of LiGaTe2I relaxed with PBEsol (SCAN, Alexandria).

Values from the calculation:
Its uncorrected formation energy is -0.34 eV per formula unit.

abc: 5.3143 5.3143 5.8837
angles: 90.00 90.00 90.00
Space group P4/mmm (No. 123)
Inequivalent atoms, fractional coordinates:
Li: 0.0000 0.0000 0.0000 (multiplicity 1)
Ga: 0.5000 0.5000 0.5000 (multiplicity 1)
Te: 0.0000 0.5000 0.5000 (multiplicity 2)
I: 0.5000 0.5000 0.0000 (multiplicity 1)